The following is a DFT calculation (PBE) of a relaxed SnSbPd2 crystal.

Computed properties:
- Space-group type: P2_1/c
- Volume: 20.8 Å³/atom
- ΔE to the lowest computed polymorph: 0.0 meV per atom
- Energy relative to the elements, uncorrected: -481.1 meV/atom
- Crystal system: monoclinic
- Total energy: -5.1088 eV per atom
- N(E_F): 0.47 states/eV per atom

a = 5.7033 Å, b = 7.1666 Å, c = 8.1589 Å
α = 90.00°, β = 89.99°, γ = 90.00°
Sites, in units of the cell vectors:
Pd1 0.5003 0.2495 0.3773
Sn1 0.2495 0.9166 0.8765
Pd2 0.9998 0.7497 0.1269
Pd3 0.0002 0.2503 0.8731
Sb1 0.7505 0.0783 0.6273
Sn2 0.7505 0.0834 0.1235
Sn3 0.2505 0.4166 0.1235
Sb2 0.2505 0.4217 0.6273
Sb3 0.2495 0.9217 0.3727
Pd4 0.4997 0.7505 0.6227
Pd5 0.4998 0.7503 0.1269
Sb4 0.7495 0.5783 0.3727
Pd6 0.0003 0.2505 0.3773
Pd7 0.9997 0.7495 0.6227
Sn4 0.7495 0.5834 0.8765
Pd8 0.5002 0.2497 0.8731